Entry from Alexandria via LeMat-Bulk: a relaxed structure of Ti7V5Ir (GGA-PBE).

Computed properties:
SG	Imm2 (44)
formation energy from the elements	0.26	eV per formula unit
M_tot	0.00	μB per formula unit

Cell: 6.862 6.862 6.862 Å, 136.96 100.62 94.87°
Fractional coordinates of all 13 atoms:
Ti: 0.000 0.000 0.000
Ti: 0.026 0.370 0.656
Ti: 0.159 0.865 0.294
Ti: 0.348 0.348 0.000
Ti: 0.571 0.865 0.706
Ti: 0.580 0.080 0.500
Ti: 0.714 0.370 0.344
V: 0.159 0.659 0.500
V: 0.360 0.363 0.488
V: 0.360 0.871 0.997
V: 0.874 0.363 0.003
V: 0.874 0.871 0.512
Ir: 0.722 0.722 0.000